Model i:
First-principles (PBE-GGA) data for crystalline Ce3Nd2Se8 at its relaxed geometry, as listed in the Alexandria database.

## Properties
- D(E_F) (states/eV per atom) = 1.036
- M_tot (μB per atom) = 0.155
- space group = No. 12

Unit cell a=7.1806 b=8.4805 c=8.5641 alpha=119.68 beta=107.29 gamma=90.00
Closest atoms and distances in Å follow each position.
Fractional positions:
1 Ce 0.5000 0.0000 0.0000  6 Se 2.92-2.95
2 Ce 0.0000 0.2609 0.0000  6 Se 2.87-2.97
3 Ce 0.0000 0.7391 0.0000  6 Se 2.87-2.97
4 Nd 0.3395 0.2637 0.5275  6 Se 2.93-3.03
5 Nd 0.6605 0.7363 0.4725  6 Se 2.93-3.03
6 Se 0.9022 0.6127 0.2255  2 Ce 2.87, 1 Nd 2.93
7 Se 0.0978 0.3873 0.7745  2 Ce 2.87, 1 Nd 2.93
8 Se 0.9253 0.1161 0.2322  3 Ce 2.95-2.97, 1 Nd 3.03
9 Se 0.0747 0.8839 0.7678  3 Ce 2.95-2.97, 1 Nd 3.03
10 Se 0.5867 0.6431 0.7496  2 Ce 2.92-2.93, 2 Nd 3.01-3.02
11 Se 0.5867 0.1065 0.7496  2 Ce 2.92-2.93, 2 Nd 3.01-3.02
12 Se 0.4133 0.8935 0.2504  2 Ce 2.92-2.93, 2 Nd 3.01-3.02
13 Se 0.4133 0.3569 0.2504  2 Ce 2.92-2.93, 2 Nd 3.01-3.02

***

Model ii:
First-principles (PBE-GGA) data for crystalline Ce3Nd2Se8 at its relaxed geometry, as listed in the Alexandria database.

## Properties
- D(E_F) (states/eV per atom) = 0.950
- M_tot (μB per atom) = 0.155
- space group = No. 65

Unit cell a=5.0223 b=10.1553 c=8.7929 alpha=125.27 beta=90.00 gamma=90.00
Closest atoms and distances in Å follow each position.
Fractional positions:
1 Ce 0.5000 0.0000 0.0000  8 Se 2.99-3.01
2 Ce 0.0000 0.2747 0.9999  8 Se 2.92-3.25
3 Ce 0.0000 0.7253 0.0001  8 Se 2.92-3.25
4 Nd 0.5000 0.2687 0.5373  6 Se 2.93-3.20
5 Nd 0.5000 0.7313 0.4627  6 Se 2.93-3.20
6 Se 0.0000 0.6264 0.2530  2 Ce 2.92, 2 Nd 2.93
7 Se 0.0000 0.3736 0.7470  2 Ce 2.92, 2 Nd 2.93
8 Se 0.0000 0.1158 0.2316  4 Ce 3.01-3.25, 1 Se 3.33, 2 Nd 3.33
9 Se 0.0000 0.8842 0.7684  4 Ce 3.01-3.25, 1 Se 3.33, 2 Nd 3.33
10 Se 0.5000 0.6391 0.7544  3 Ce 2.99-3.09, 2 Nd 3.08-3.20
11 Se 0.5000 0.1152 0.7543  3 Ce 2.99-3.09, 2 Nd 3.08-3.20
12 Se 0.5000 0.8848 0.2457  3 Ce 2.99-3.09, 2 Nd 3.08-3.20
13 Se 0.5000 0.3609 0.2456  3 Ce 2.99-3.09, 2 Nd 3.08-3.20

***

The structure with the greatest stability is model i.

***

Model i:
First-principles (PBE-GGA) data for crystalline Ce2NdSi2 at its relaxed geometry, as listed in the Alexandria database.

## Properties
- D(E_F) (states/eV per atom) = 2.369
- M_tot (μB per atom) = 0.400
- space group = No. 11

Unit cell a=4.2258 b=5.6020 c=11.5931 alpha=105.37 beta=90.00 gamma=90.00
Closest atoms and distances in Å follow each position.
Fractional positions:
1 Ce 0.2500 0.8050 0.8715  5 Si 2.97-3.06
2 Ce 0.7500 0.1950 0.1285  5 Si 2.97-3.06
3 Ce 0.2500 0.3350 0.5159  4 Si 2.87-3.20, 2 Ce 2.90
4 Ce 0.7500 0.6650 0.4841  4 Si 2.87-3.20, 2 Ce 2.90
5 Nd 0.2500 0.7509 0.2250  5 Si 2.98-3.11
6 Nd 0.7500 0.2491 0.7750  5 Si 2.98-3.11
7 Si 0.2500 0.9196 0.6353  5 Ce 2.87-3.20, 2 Nd 2.98
8 Si 0.7500 0.0804 0.3647  5 Ce 2.87-3.20, 2 Nd 2.98
9 Si 0.2500 0.3607 0.9790  2 Si 2.59
10 Si 0.7500 0.6393 0.0210  2 Si 2.59

***

Model ii:
First-principles (PBE-GGA) data for crystalline Ce2NdSi2 at its relaxed geometry, as listed in the Alexandria database.

## Properties
- D(E_F) (states/eV per atom) = 2.448
- M_tot (μB per atom) = 0.322
- space group = No. 127

Unit cell a=4.2259 b=7.7024 c=7.7024 alpha=90.00 beta=90.00 gamma=90.00
Closest atoms and distances in Å follow each position.
Fractional positions:
1 Ce 0.5000 0.1784 0.6784  6 Si 3.11-3.12
2 Ce 0.5000 0.6784 0.8216  6 Si 3.11-3.12
3 Ce 0.5000 0.8216 0.3216  6 Si 3.11-3.12
4 Ce 0.5000 0.3216 0.1784  6 Si 3.11-3.12
5 Nd 0.0000 0.0000 0.0000  4 Si 3.11
6 Nd 0.0000 0.5000 0.5000  4 Si 3.11
7 Si 0.0000 0.3877 0.8877  1 Si 2.45
8 Si 0.0000 0.8877 0.6123  1 Si 2.45
9 Si 0.0000 0.6123 0.1123  1 Si 2.45
10 Si 0.0000 0.1123 0.3877  1 Si 2.45

***

The structure with the greatest stability is model ii.

***

Model i:
First-principles (PBE-GGA) data for crystalline CeNdSm2 at its relaxed geometry, as listed in the Alexandria database.

## Properties
- D(E_F) (states/eV per atom) = 1.925
- M_tot (μB per atom) = 0.149
- space group = No. 123

Unit cell a=3.5774 b=3.5774 c=10.2784 alpha=90.00 beta=90.00 gamma=90.00
Closest atoms and distances in Å follow each position.
Fractional positions:
1 Nd 0.5000 0.5000 0.0000  4 Nd 3.58, 8 Sm 3.69
2 Ce 0.5000 0.5000 0.5000  8 Sm 3.52, 4 Ce 3.58
3 Sm 0.0000 0.0000 0.7382  4 Ce 3.52, 4 Sm 3.58, 4 Nd 3.69
4 Sm 0.0000 0.0000 0.2618  4 Ce 3.52, 4 Sm 3.58, 4 Nd 3.69

***

Model ii:
First-principles (PBE-GGA) data for crystalline CeNdSm2 at its relaxed geometry, as listed in the Alexandria database.

## Properties
- D(E_F) (states/eV per atom) = 1.978
- M_tot (μB per atom) = 0.201
- space group = No. 166

Unit cell a=3.4803 b=3.4803 c=12.7444 alpha=82.15 beta=82.15 gamma=60.00
Closest atoms and distances in Å follow each position.
Fractional positions:
1 Nd 0.5000 0.5000 0.5000  6 Nd 3.48, 6 Sm 3.61
2 Ce 0.0000 0.0000 0.0000  2 Sm 3.30, 6 Ce 3.48
3 Sm 0.0873 0.0873 0.7380  1 Ce 3.30, 6 Sm 3.48, 3 Nd 3.61
4 Sm 0.9127 0.9127 0.2620  1 Ce 3.30, 6 Sm 3.48, 3 Nd 3.61

***

The structure with the greatest stability is model i.

***

Model i:
First-principles (PBE-GGA) data for crystalline CeNdSm2 at its relaxed geometry, as listed in the Alexandria database.

## Properties
- D(E_F) (states/eV per atom) = 2.132
- M_tot (μB per atom) = 0.177
- space group = No. 123

Unit cell a=5.1003 b=5.1078 c=5.1078 alpha=90.00 beta=90.00 gamma=90.00
Closest atoms and distances in Å follow each position.
Fractional positions:
1 Nd 0.5000 0.0000 0.0000  8 Sm 3.61, 4 Ce 3.61
2 Ce 0.5000 0.5000 0.5000  8 Sm 3.61, 4 Nd 3.61
3 Sm 0.0000 0.0000 0.5000  4 Ce 3.61, 4 Nd 3.61, 4 Sm 3.61
4 Sm 0.0000 0.5000 0.0000  4 Ce 3.61, 4 Nd 3.61, 4 Sm 3.61

***

Model ii:
First-principles (PBE-GGA) data for crystalline CeNdSm2 at its relaxed geometry, as listed in the Alexandria database.

## Properties
- D(E_F) (states/eV per atom) = 3.253
- M_tot (μB per atom) = 0.540
- space group = No. 225

Unit cell a=5.7634 b=5.7634 c=5.7634 alpha=60.00 beta=60.00 gamma=60.00
Closest atoms and distances in Å follow each position.
Fractional positions:
1 Nd 0.5000 0.5000 0.5000  8 Sm 3.53
2 Ce 0.0000 0.0000 0.0000  8 Sm 3.53
3 Sm 0.2500 0.2500 0.2500  4 Ce 3.53, 4 Nd 3.53
4 Sm 0.7500 0.7500 0.7500  4 Nd 3.53, 4 Ce 3.53

***

Model iii:
First-principles (PBE-GGA) data for crystalline CeNdSm2 at its relaxed geometry, as listed in the Alexandria database.

## Properties
- D(E_F) (states/eV per atom) = 2.039
- M_tot (μB per atom) = 0.238
- space group = No. 160

Unit cell a=3.6098 b=3.6098 c=11.9736 alpha=81.33 beta=81.33 gamma=60.00
Closest atoms and distances in Å follow each position.
Fractional positions:
1 Ce 0.5003 0.5003 0.4992  6 Sm 3.56-3.59, 6 Ce 3.61
2 Nd 0.6667 0.6667 0.0000  6 Nd 3.61, 6 Sm 3.64-3.65
3 Sm 0.0844 0.0844 0.7467  3 Ce 3.59, 6 Sm 3.61, 3 Nd 3.64
4 Sm 0.2486 0.2486 0.2542  3 Ce 3.56, 6 Sm 3.61, 3 Nd 3.65

***

The structure with the greatest stability is model iii.

***

Model i:
First-principles (PBE-GGA) data for crystalline CeNdSm4 at its relaxed geometry, as listed in the Alexandria database.

## Properties
- D(E_F) (states/eV per atom) = 2.482
- M_tot (μB per atom) = 0.229
- space group = No. 12

Unit cell a=3.4312 b=6.0453 c=11.5853 alpha=117.17 beta=90.00 gamma=106.49
Closest atoms and distances in Å follow each position.
Fractional positions:
1 Ce 0.5000 0.0000 0.0000  2 Ce 3.43, 8 Sm 3.45-3.55
2 Nd 0.0000 0.0000 0.5000  2 Nd 3.43, 8 Sm 3.49-3.61
3 Sm 0.1576 0.3153 0.8455  7 Sm 3.43-3.68, 3 Ce 3.49-3.55, 1 Nd 3.52
4 Sm 0.8424 0.6847 0.1545  7 Sm 3.43-3.68, 3 Ce 3.49-3.55, 1 Nd 3.52
5 Sm 0.6575 0.3149 0.3387  7 Sm 3.43-3.73, 1 Ce 3.45, 3 Nd 3.49-3.61
6 Sm 0.3425 0.6851 0.6613  7 Sm 3.43-3.73, 1 Ce 3.45, 3 Nd 3.49-3.61

***

Model ii:
First-principles (PBE-GGA) data for crystalline CeNdSm4 at its relaxed geometry, as listed in the Alexandria database.

## Properties
- D(E_F) (states/eV per atom) = 2.375
- M_tot (μB per atom) = 0.211
- space group = No. 74

Unit cell a=11.7965 b=6.6988 c=8.4968 alpha=113.22 beta=133.96 gamma=90.00
Closest atoms and distances in Å follow each position.
Fractional positions:
1 Ce 0.5000 0.5000 0.0000  2 Ce 3.35, 6 Sm 3.38-3.44
2 Ce 0.5000 0.0000 0.0000  2 Ce 3.35, 6 Sm 3.38-3.44
3 Nd 0.5000 0.0000 0.5000  10 Sm 3.42-3.75
4 Nd 0.0000 0.0000 0.5000  10 Sm 3.42-3.75
5 Sm 0.8301 0.8265 0.6603  5 Sm 3.30-3.55, 1 Ce 3.38, 2 Nd 3.50
6 Sm 0.1719 0.6656 0.8312  5 Sm 3.39-3.77, 3 Nd 3.42-3.75, 2 Ce 3.44
7 Sm 0.6593 0.6656 0.8312  5 Sm 3.39-3.77, 3 Nd 3.42-3.75, 2 Ce 3.44
8 Sm 0.8301 0.3338 0.6603  5 Sm 3.30-3.55, 1 Ce 3.38, 2 Nd 3.50
9 Sm 0.1699 0.6662 0.3397  5 Sm 3.30-3.55, 1 Ce 3.38, 2 Nd 3.50
10 Sm 0.8281 0.3344 0.1688  5 Sm 3.39-3.77, 3 Nd 3.42-3.75, 2 Ce 3.44
11 Sm 0.3407 0.3344 0.1688  5 Sm 3.39-3.77, 3 Nd 3.42-3.75, 2 Ce 3.44
12 Sm 0.1699 0.1735 0.3397  5 Sm 3.30-3.55, 1 Ce 3.38, 2 Nd 3.50

***

The structure with the greatest stability is model i.